[1]
Below is crystalline Li2BeAs at its relaxed geometry, with properties calculated at the GGA-PBE level.

The structure in POSCAR format:
```
Li2BeAs
1.0
0.0000 2.9898 2.9898
2.9898 0.0000 2.9898
2.9898 2.9898 0.0000
Li Be As
2 1 1
Cartesian
1.4949 1.4949 1.4949 Li
4.4847 4.4847 4.4847 Li
0.0000 0.0000 0.0000 Be
2.9898 2.9898 2.9898 As
```

Properties
ΔE to the lowest computed polymorph (eV/atom): 0.133
Calculated total energy (Ry/atom): -0.232
DFT formation energy (eV/atom): -0.100



[2]
Below is crystalline LiBeAs2 at its relaxed geometry, with properties calculated at the GGA-PBE level.

The structure in POSCAR format:
```
LiBeAs2
1.0
-2.3305 2.3305 7.1265
2.3305 -2.3305 7.1265
2.3305 2.3305 -7.1265
Li Be As
2 2 4
Cartesian
0.0000 0.0000 0.0000 Li
0.0000 2.3305 3.5633 Li
2.3305 0.0000 3.5633 Be
0.0000 0.0000 7.1265 Be
1.1652 -0.6571 5.3449 As
1.6734 1.1652 1.7816 As
1.1652 2.9875 -1.7816 As
0.6571 1.1652 8.9082 As
```

Properties
ΔE to the lowest computed polymorph (eV/atom): 0.068
Calculated total energy (Ry/atom): -0.285
DFT formation energy (eV/atom): -0.144



[3]
Below is crystalline LiBe8As6 at its relaxed geometry, with properties calculated at the GGA-PBE level.

The structure in POSCAR format:
```
LiBe8As6
1.0
6.5217 0.0000 0.0000
-3.2608 5.6479 0.0000
0.0000 0.0000 12.5329
Li Be As
2 16 12
Cartesian
0.0000 0.0000 0.0000 Li
0.0000 0.0000 6.2665 Li
-1.0745 1.8611 4.6878 Be
-1.0789 1.8688 9.0040 Be
-2.1819 3.7792 2.7375 Be
-2.1864 3.7869 10.9543 Be
2.1490 0.0000 4.6878 Be
1.0745 1.8611 10.9543 Be
2.1579 0.0000 9.0040 Be
1.0789 1.8688 2.7375 Be
0.0000 3.7653 5.9758 Be
0.0000 3.7653 12.2423 Be
3.2608 1.8826 5.9758 Be
3.2608 1.8826 12.2423 Be
4.3638 0.0000 2.7375 Be
2.1819 3.7792 9.0040 Be
4.3727 0.0000 10.9543 Be
2.1864 3.7869 4.6878 Be
0.0000 0.0000 3.6524 As
0.0000 0.0000 9.9188 As
-1.2082 2.0927 6.8347 As
-2.0526 3.5552 0.5682 As
0.0000 3.7653 3.6422 As
0.0000 3.7653 9.9086 As
2.4165 0.0000 6.8347 As
1.2082 2.0927 0.5682 As
4.1052 0.0000 0.5682 As
2.0526 3.5552 6.8347 As
3.2608 1.8826 3.6422 As
3.2608 1.8826 9.9086 As
```

Properties
Calculated total energy (Ry/atom): -0.296
DFT formation energy (eV/atom): -0.049



[4]
Below is crystalline LiBeAs2 at its relaxed geometry, with properties calculated at the GGA-PBE level.

The structure in POSCAR format:
```
LiBeAs2
1.0
3.0413 0.0000 0.0000
0.0000 3.0413 0.0000
0.0000 0.0000 7.5899
Li Be As
1 1 2
Cartesian
0.0000 0.0000 0.0000 Li
1.5207 1.5207 6.3589 Be
0.0000 0.0000 5.0497 As
1.5207 1.5207 1.3035 As
```

Properties
ΔE to the lowest computed polymorph (eV/atom): 0.270
Calculated total energy (Ry/atom): -0.270
DFT formation energy (eV/atom): 0.058



[5]
Below is crystalline LiBe2As at its relaxed geometry, with properties calculated at the GGA-PBE level.

The structure in POSCAR format:
```
LiBe2As
1.0
-1.7709 1.7743 3.7294
1.7709 -1.7743 3.7294
1.7709 1.7743 -3.7294
Li Be As
1 2 1
Cartesian
0.0000 0.0000 0.0000 Li
0.0000 0.0000 3.7123 Be
0.0000 1.7743 1.8639 Be
1.7709 0.0000 1.8645 As
```

Properties
ΔE to the lowest computed polymorph (eV/atom): 0.055
Calculated total energy (Ry/atom): -0.248
DFT formation energy (eV/atom): 0.132



[6]
Below is crystalline Li2BeAs at its relaxed geometry, with properties calculated at the GGA-PBE level.

The structure in POSCAR format:
```
Li2BeAs
1.0
2.8677 0.0000 0.0000
0.0000 3.5515 0.0000
0.0000 0.0000 5.4793
Li Be As
2 1 1
Cartesian
0.0000 0.0000 0.0000 Li
1.4339 1.7757 1.4921 Li
1.4339 1.7757 4.1334 Be
0.0000 0.0000 2.9272 As
```

Properties
ΔE to the lowest computed polymorph (eV/atom): 0.156
Calculated total energy (Ry/atom): -0.230
DFT formation energy (eV/atom): -0.077



[7]
Below is crystalline LiBeAs at its relaxed geometry, with properties calculated at the GGA-PBE level.

The structure in POSCAR format:
```
LiBeAs
1.0
0.0000 2.7541 2.7541
2.7541 0.0000 2.7541
2.7541 2.7541 0.0000
Li Be As
1 1 1
Cartesian
0.0000 0.0000 0.0000 Li
1.3771 1.3771 1.3771 Be
4.1312 4.1312 4.1312 As
```

Properties
Calculated total energy (Ry/atom): -0.243
DFT formation energy (eV/atom): 0.126



[8]
Below is crystalline Li2BeAs at its relaxed geometry, with properties calculated at the GGA-PBE level.

The structure in POSCAR format:
```
Li2BeAs
1.0
-1.8300 2.0751 3.8246
1.8300 -2.0751 3.8246
1.8300 2.0751 -3.8246
Li Be As
2 1 1
Cartesian
0.0000 0.0000 0.0000 Li
0.0000 2.0751 1.7251 Li
0.0000 0.0000 3.3890 Be
1.8300 0.0000 2.1535 As
```

Properties
ΔE to the lowest computed polymorph (eV/atom): 0.011
Calculated total energy (Ry/atom): -0.241
DFT formation energy (eV/atom): -0.222



[9]
Below is crystalline Li2BeAs at its relaxed geometry, with properties calculated at the GGA-PBE level.

The structure in POSCAR format:
```
Li2BeAs
1.0
0.0000 3.0240 3.0240
3.0240 0.0000 3.0240
3.0240 3.0240 0.0000
Li Be As
2 1 1
Cartesian
0.0000 0.0000 0.0000 Li
1.5120 1.5120 1.5120 Li
4.5361 4.5361 4.5361 Be
3.0240 3.0240 3.0240 As
```

Properties
ΔE to the lowest computed polymorph (eV/atom): 0.134
Calculated total energy (Ry/atom): -0.232
DFT formation energy (eV/atom): -0.099



[10]
Below is crystalline LiBeAs2 at its relaxed geometry, with properties calculated at the GGA-PBE level.

The structure in POSCAR format:
```
LiBeAs2
1.0
1.5359 0.8867 7.5165
-1.5359 0.8867 7.5165
0.0000 -1.7735 7.5165
Li Be As
1 1 2
Cartesian
0.0000 0.0000 0.0000 Li
0.0000 0.0000 11.2747 Be
0.0000 0.0000 5.4530 As
0.0000 0.0000 17.0964 As
```

Properties
ΔE to the lowest computed polymorph (eV/atom): 0.119
Calculated total energy (Ry/atom): -0.281
DFT formation energy (eV/atom): -0.093



[11]
Below is crystalline LiBeAs at its relaxed geometry, with properties calculated at the GGA-PBE level.

The structure in POSCAR format:
```
LiBeAs
1.0
-1.7299 1.7299 3.4486
1.7299 -1.7299 3.4486
1.7299 1.7299 -3.4486
Li Be As
1 1 1
Cartesian
0.0000 0.0000 0.0000 Li
0.0000 0.0000 4.6662 Be
0.0000 0.0000 2.3238 As
```

Properties
Calculated total energy (Ry/atom): -0.253
DFT formation energy (eV/atom): -0.015



[12]
Below is crystalline Li2BeAs at its relaxed geometry, with properties calculated at the GGA-PBE level.

The structure in POSCAR format:
```
Li2BeAs
1.0
2.0044 -2.5350 0.0000
2.0044 2.5350 0.0000
0.0000 0.0000 5.8506
Li Be As
2 1 1
Cartesian
0.0000 0.0000 0.0000 Li
2.0044 0.0000 1.6992 Li
2.0044 0.0000 4.4368 Be
0.0000 0.0000 3.2699 As
```

Properties
ΔE to the lowest computed polymorph (eV/atom): 0.194
Calculated total energy (Ry/atom): -0.227
DFT formation energy (eV/atom): -0.039